[1]
# PBE-GGA HfV2Pd2, optimized geometry
data_HfV2Pd2
_cell_length_a 7.572
_cell_length_b 7.572
_cell_length_c 2.833
_cell_angle_alpha 90.00
_cell_angle_beta 90.00
_cell_angle_gamma 90.00
_symmetry_space_group_name_H-M 'P 1'
_symmetry_Int_Tables_number 1
loop_
_symmetry_equiv_pos_as_xyz
'x,y,z'
loop_
_atom_site_label
_atom_site_type_symbol
_atom_site_fract_x
_atom_site_fract_y
_atom_site_fract_z
Hf1 Hf 0.000 0.000 0.000
Hf2 Hf 0.500 0.500 0.000
Pd1 Pd 0.372 0.872 0.000
Pd2 Pd 0.872 0.628 0.000
Pd3 Pd 0.628 0.128 0.000
Pd4 Pd 0.128 0.372 0.000
V1 V 0.170 0.670 0.500
V2 V 0.670 0.830 0.500
V3 V 0.830 0.330 0.500
V4 V 0.330 0.170 0.500
# **DOS at the Fermi energy**: 1.21 states/eV/atom
# **Raw total energy**: -77.79 eV for the cell shown
# **Energy of formation**: -64 meV per atom

[2]
# PBE-GGA RbAgOsCl2, optimized geometry
data_RbAgOsCl2
_cell_length_a 5.361
_cell_length_b 5.316
_cell_length_c 5.361
_cell_angle_alpha 90.00
_cell_angle_beta 90.00
_cell_angle_gamma 90.00
_symmetry_space_group_name_H-M 'P 1'
_symmetry_Int_Tables_number 1
loop_
_symmetry_equiv_pos_as_xyz
'x,y,z'
loop_
_atom_site_label
_atom_site_type_symbol
_atom_site_fract_x
_atom_site_fract_y
_atom_site_fract_z
Os1 Os 0.000 0.500 0.000
Rb1 Rb 0.500 0.500 0.500
Ag1 Ag 0.000 0.000 0.000
Cl1 Cl 0.000 0.000 0.500
Cl2 Cl 0.500 0.000 0.000
# **DOS at the Fermi energy**: 1.12 states/eV/atom
# **Raw formation energy**: 2.65 eV per formula unit
# **Raw total energy**: -16.09 eV for the cell shown

[3]
# PBE-GGA CeUFe, optimized geometry
data_CeUFe
_cell_length_a 3.305
_cell_length_b 3.305
_cell_length_c 5.994
_cell_angle_alpha 106.00
_cell_angle_beta 106.00
_cell_angle_gamma 90.00
_symmetry_space_group_name_H-M 'P 1'
_symmetry_Int_Tables_number 1
loop_
_symmetry_equiv_pos_as_xyz
'x,y,z'
loop_
_atom_site_label
_atom_site_type_symbol
_atom_site_fract_x
_atom_site_fract_y
_atom_site_fract_z
U1 U 0.709 0.709 0.418
Fe1 Fe 0.289 0.289 0.577
Ce1 Ce 0.002 0.002 0.005
# **DOS at the Fermi energy**: 2.02 states/eV/atom
# **Raw total energy**: -25.59 eV for the cell shown
# **Energy of formation**: 33 meV per atom

[4]
# PBE-GGA YSiOs2, optimized geometry
data_YSiOs2
_cell_length_a 5.170
_cell_length_b 5.170
_cell_length_c 5.170
_cell_angle_alpha 135.80
_cell_angle_beta 135.80
_cell_angle_gamma 64.29
_symmetry_space_group_name_H-M 'P 1'
_symmetry_Int_Tables_number 1
loop_
_symmetry_equiv_pos_as_xyz
'x,y,z'
loop_
_atom_site_label
_atom_site_type_symbol
_atom_site_fract_x
_atom_site_fract_y
_atom_site_fract_z
Os1 Os 0.000 0.000 0.000
Os2 Os 0.250 0.750 0.500
Si1 Si 0.500 0.500 0.000
Y1 Y 0.750 0.250 0.500
# **DOS at the Fermi energy**: 1.15 states/eV/atom
# **Raw formation energy**: 0.76 eV per formula unit
# **Raw total energy**: -33.58 eV for the cell shown

[5]
# PBE-GGA LaMgTl2Cd, optimized geometry
data_LaMgTl2Cd
_cell_length_a 6.194
_cell_length_b 6.115
_cell_length_c 6.194
_cell_angle_alpha 90.00
_cell_angle_beta 90.00
_cell_angle_gamma 90.00
_symmetry_space_group_name_H-M 'P 1'
_symmetry_Int_Tables_number 1
loop_
_symmetry_equiv_pos_as_xyz
'x,y,z'
loop_
_atom_site_label
_atom_site_type_symbol
_atom_site_fract_x
_atom_site_fract_y
_atom_site_fract_z
Tl1 Tl 0.000 0.000 0.500
Tl2 Tl 0.500 0.000 0.000
Cd1 Cd 0.000 0.500 0.000
Mg1 Mg 0.500 0.500 0.500
La1 La 0.000 0.000 0.000
# **DOS at the Fermi energy**: 2.26 states/eV/atom
# **Raw total energy**: -8.81 eV for the cell shown
# **Energy of formation**: 672 meV per atom

[6]
# PBE-GGA Ca3ErPt8, optimized geometry
data_Ca3ErPt8
_cell_length_a 5.456
_cell_length_b 5.456
_cell_length_c 9.396
_cell_angle_alpha 73.12
_cell_angle_beta 73.12
_cell_angle_gamma 60.00
_symmetry_space_group_name_H-M 'P 1'
_symmetry_Int_Tables_number 1
loop_
_symmetry_equiv_pos_as_xyz
'x,y,z'
loop_
_atom_site_label
_atom_site_type_symbol
_atom_site_fract_x
_atom_site_fract_y
_atom_site_fract_z
Ca1 Ca 0.374 0.374 0.877
Ca2 Ca 0.002 0.002 0.995
Ca3 Ca 0.498 0.498 0.506
Er1 Er 0.876 0.876 0.371
Pt1 Pt 0.934 0.437 0.192
Pt2 Pt 0.441 0.938 0.684
Pt3 Pt 0.437 0.437 0.192
Pt4 Pt 0.938 0.938 0.684
Pt5 Pt 0.187 0.187 0.438
Pt6 Pt 0.687 0.687 0.938
Pt7 Pt 0.437 0.934 0.192
Pt8 Pt 0.938 0.441 0.684
# **DOS at the Fermi energy**: 0.91 states/eV/atom
# **Raw total energy**: -70.75 eV for the cell shown
# **Energy of formation**: -988 meV per atom

[7]
# PBE-GGA UCrH4, optimized geometry
data_UCrH4
_cell_length_a 4.831
_cell_length_b 4.783
_cell_length_c 5.353
_cell_angle_alpha 112.16
_cell_angle_beta 112.47
_cell_angle_gamma 98.88
_symmetry_space_group_name_H-M 'P 1'
_symmetry_Int_Tables_number 1
loop_
_symmetry_equiv_pos_as_xyz
'x,y,z'
loop_
_atom_site_label
_atom_site_type_symbol
_atom_site_fract_x
_atom_site_fract_y
_atom_site_fract_z
U1 U 0.421 0.671 0.343
U2 U 0.579 0.329 0.657
Cr1 Cr 0.210 0.960 0.920
Cr2 Cr 0.790 0.040 0.080
H1 H 0.994 0.224 0.940
H2 H 0.892 0.642 0.589
H3 H 0.446 0.716 0.940
H4 H 0.197 0.948 0.589
H5 H 0.803 0.052 0.411
H6 H 0.554 0.284 0.060
H7 H 0.108 0.358 0.411
H8 H 0.006 0.776 0.060
# **DOS at the Fermi energy**: 0.61 states/eV/atom
# **Raw total energy**: -68.55 eV for the cell shown

[8]
# PBE-GGA SrAgNO2, optimized geometry
data_SrAgNO2
_cell_length_a 4.264
_cell_length_b 4.264
_cell_length_c 3.983
_cell_angle_alpha 90.00
_cell_angle_beta 90.00
_cell_angle_gamma 90.00
_symmetry_space_group_name_H-M 'P 1'
_symmetry_Int_Tables_number 1
loop_
_symmetry_equiv_pos_as_xyz
'x,y,z'
loop_
_atom_site_label
_atom_site_type_symbol
_atom_site_fract_x
_atom_site_fract_y
_atom_site_fract_z
Sr1 Sr 0.500 0.500 0.500
O1 O 0.000 0.500 0.000
O2 O 0.500 0.000 0.000
Ag1 Ag 0.000 0.000 0.000
N1 N 0.000 0.000 0.500
# **DOS at the Fermi energy**: 0.63 states/eV/atom
# **Raw formation energy**: -1.05 eV per formula unit
# **Raw total energy**: -23.83 eV for the cell shown

[9]
# PBE-GGA FePBr2, optimized geometry
data_FePBr2
_cell_length_a 7.094
_cell_length_b 7.094
_cell_length_c 7.094
_cell_angle_alpha 149.37
_cell_angle_beta 149.37
_cell_angle_gamma 43.87
_symmetry_space_group_name_H-M 'P 1'
_symmetry_Int_Tables_number 1
loop_
_symmetry_equiv_pos_as_xyz
'x,y,z'
loop_
_atom_site_label
_atom_site_type_symbol
_atom_site_fract_x
_atom_site_fract_y
_atom_site_fract_z
Br1 Br 0.000 0.000 0.000
Br2 Br 0.250 0.750 0.500
Fe1 Fe 0.500 0.500 0.000
P1 P 0.750 0.250 0.500
# **DOS at the Fermi energy**: 1.32 states/eV/atom
# **Raw formation energy**: 2.88 eV per formula unit
# **Raw total energy**: -14.34 eV for the cell shown

[10]
# PBE-GGA TaCuBr2, optimized geometry
data_TaCuBr2
_cell_length_a 3.145
_cell_length_b 5.725
_cell_length_c 4.378
_cell_angle_alpha 90.00
_cell_angle_beta 90.00
_cell_angle_gamma 90.00
_symmetry_space_group_name_H-M 'P 1'
_symmetry_Int_Tables_number 1
loop_
_symmetry_equiv_pos_as_xyz
'x,y,z'
loop_
_atom_site_label
_atom_site_type_symbol
_atom_site_fract_x
_atom_site_fract_y
_atom_site_fract_z
Br1 Br 0.000 0.000 0.000
Br2 Br 0.500 0.500 0.000
Cu1 Cu 0.500 0.000 0.500
Ta1 Ta 0.000 0.500 0.500
# **DOS at the Fermi energy**: 0.82 states/eV/atom
# **Raw formation energy**: 2.77 eV per formula unit
# **Raw total energy**: -16.53 eV for the cell shown

[11]
# PBE-GGA Ca3Ni, optimized geometry
data_Ca3Ni
_cell_length_a 5.442
_cell_length_b 5.442
_cell_length_c 5.442
_cell_angle_alpha 60.00
_cell_angle_beta 60.00
_cell_angle_gamma 60.00
_symmetry_space_group_name_H-M 'P 1'
_symmetry_Int_Tables_number 1
loop_
_symmetry_equiv_pos_as_xyz
'x,y,z'
loop_
_atom_site_label
_atom_site_type_symbol
_atom_site_fract_x
_atom_site_fract_y
_atom_site_fract_z
Ni1 Ni 0.750 0.750 0.750
Ca1 Ca 0.000 0.000 0.000
Ca2 Ca 0.250 0.250 0.250
Ca3 Ca 0.500 0.500 0.500
# **DOS at the Fermi energy**: 1.06 states/eV/atom
# **Raw total energy**: -10.76 eV for the cell shown
# **Energy of formation**: 255 meV per atom

[12]
# PBE-GGA SiAs2P, optimized geometry
data_SiAs2P
_cell_length_a 4.586
_cell_length_b 4.586
_cell_length_c 3.215
_cell_angle_alpha 90.00
_cell_angle_beta 90.00
_cell_angle_gamma 90.00
_symmetry_space_group_name_H-M 'P 1'
_symmetry_Int_Tables_number 1
loop_
_symmetry_equiv_pos_as_xyz
'x,y,z'
loop_
_atom_site_label
_atom_site_type_symbol
_atom_site_fract_x
_atom_site_fract_y
_atom_site_fract_z
As1 As 0.000 0.000 0.000
As2 As 0.500 0.500 0.000
P1 P 0.500 0.000 0.500
Si1 Si 0.000 0.500 0.500
# **DOS at the Fermi energy**: 0.48 states/eV/atom
# **Raw formation energy**: 2.28 eV per formula unit
# **Raw total energy**: -17.86 eV for the cell shown

Question: What is the DOS at the Fermi energy in the ninth record?
Answer: 1.32 states/eV/atom